Run P
VASP calculation (PBE-GGA) on an optimized crystal structure of Be3Se.

Results
Total magnetic moment ... 0.000 μB/f.u.
V ... 51 Å³/cell

a b c (Å): 2.6342 2.6342 8.4056
angles (deg): 90.00 90.00 120.00
Space group P-6m2 (No. 187)
Symmetry-distinct sites (fractional):
Be 0.0000 0.0000 0.0000 (multiplicity 1)
Be 0.3333 0.6667 0.1926 (multiplicity 2)
Se 0.0000 0.0000 0.5000 (multiplicity 1)

***

Run Q
VASP calculation (PBE-GGA) on an optimized crystal structure of Be3Se.

Results
Total magnetic moment ... 0.000 μB/f.u.
V ... 95 Å³/cell

a b c (Å): 4.559 4.559 4.559
angles (deg): 90.00 90.00 90.00
Space group Pm-3n (No. 223)
Symmetry-distinct sites (fractional):
Be 0.000 0.250 0.500 (multiplicity 6)
Se 0.000 0.000 0.000 (multiplicity 2)

***

It turns out run P is the most stable, with the second structure 0.017 eV/atom higher.

***

Run P
VASP calculation (PBE-GGA) on an optimized crystal structure of Be3Se.

Results
Total magnetic moment ... 0.000 μB/f.u.
V ... 105 Å³/cell

a b c (Å): 3.762 6.946 4.028
angles (deg): 90.00 90.00 90.00
Space group Cmmm (No. 65)
Symmetry-distinct sites (fractional):
Be 0.000 0.000 0.000 (multiplicity 2)
Be 0.000 0.323 0.000 (multiplicity 4)
Se 0.000 0.500 0.500 (multiplicity 2)

***

Run Q
VASP calculation (PBE-GGA) on an optimized crystal structure of Be3Se.

Results
Total magnetic moment ... 0.855 μB/f.u.
V ... 87 Å³/cell

a b c (Å): 4.431 4.431 4.431
angles (deg): 90.00 90.00 90.00
Space group Pm-3m (No. 221)
Symmetry-distinct sites (fractional):
Be 0.000 0.000 0.500 (multiplicity 3)
Se 0.000 0.000 0.000 (multiplicity 1)

***

Run R
VASP calculation (PBE-GGA) on an optimized crystal structure of Be3Se.

Results
Total magnetic moment ... 0.000 μB/f.u.
V ... 59 Å³/cell

a b c (Å): 2.503 2.503 9.456
angles (deg): 90.00 90.00 90.00
Space group P4/mmm (No. 123)
Symmetry-distinct sites (fractional):
Be 0.000 0.000 0.000 (multiplicity 1)
Be 0.500 0.500 0.129 (multiplicity 2)
Se 0.000 0.000 0.500 (multiplicity 1)

***

Run S
VASP calculation (PBE-GGA) on an optimized crystal structure of Be3Se.

Results
Total magnetic moment ... 0.000 μB/f.u.
V ... 155 Å³/cell

a b c (Å): 3.7125 3.7125 13.0207
angles (deg): 90.00 90.00 120.00
Space group R-3m (No. 166, hexagonal axes)
Symmetry-distinct sites (fractional):
Be 0.0000 0.0000 0.0000 (multiplicity 3)
Be 0.0000 0.0000 0.3146 (multiplicity 6)
Se 0.0000 0.0000 0.5000 (multiplicity 3)

***

It turns out run P is the most stable, with the second structure 0.195 eV/atom higher.

***

Run P
VASP calculation (PBE-GGA) on an optimized crystal structure of Be3Se.

Results
Total magnetic moment ... 0.000 μB/f.u.
V ... 57 Å³/cell

a b c (Å): 3.348 3.348 5.097
angles (deg): 90.00 90.00 90.00
Space group P4mm (No. 99)
Symmetry-distinct sites (fractional):
Be 0.000 0.000 0.000 (multiplicity 1)
Be 0.000 0.500 0.278 (multiplicity 2)
Se 0.500 0.500 0.571 (multiplicity 1)

***

Run Q
VASP calculation (PBE-GGA) on an optimized crystal structure of Be3Se.

Results
Total magnetic moment ... 0.000 μB/f.u.
V ... 197 Å³/cell

a b c (Å): 5.820 5.820 5.820
angles (deg): 90.00 90.00 90.00
Space group Fm-3m (No. 225)
Symmetry-distinct sites (fractional):
Be 0.000 0.000 0.000 (multiplicity 4)
Be 0.250 0.250 0.250 (multiplicity 8)
Se 0.000 0.000 0.500 (multiplicity 4)

***

Run R
VASP calculation (PBE-GGA) on an optimized crystal structure of Be3Se.

Results
Total magnetic moment ... 0.000 μB/f.u.
V ... 47 Å³/cell

a b c (Å): 3.221 3.221 4.543
angles (deg): 90.00 90.00 90.00
Space group P4/mmm (No. 123)
Symmetry-distinct sites (fractional):
Be 0.000 0.000 0.000 (multiplicity 1)
Be 0.500 0.500 0.232 (multiplicity 2)
Se 0.000 0.000 0.500 (multiplicity 1)

***

It turns out run P is the most stable, with the second structure 0.095 eV/atom higher.

***

Run P
VASP calculation (PBE-GGA) on an optimized crystal structure of Be3Se.

Results
Total magnetic moment ... 0.000 μB/f.u.
V ... 97 Å³/cell

a b c (Å): 4.459 6.855 3.179
angles (deg): 90.00 90.00 90.00
Space group Cmmm (No. 65)
Symmetry-distinct sites (fractional):
Be 0.000 0.000 0.000 (multiplicity 2)
Be 0.250 0.250 0.500 (multiplicity 4)
Se 0.000 0.500 0.000 (multiplicity 2)

***

Run Q
VASP calculation (PBE-GGA) on an optimized crystal structure of Be3Se.

Results
Total magnetic moment ... 0.000 μB/f.u.
V ... 102 Å³/cell

a b c (Å): 3.232 3.232 9.720
angles (deg): 90.00 90.00 90.00
Space group I4/mmm (No. 139)
Symmetry-distinct sites (fractional):
Be 0.000 0.000 0.000 (multiplicity 2)
Be 0.000 0.500 0.250 (multiplicity 4)
Se 0.000 0.000 0.500 (multiplicity 2)

***

It turns out run P is the most stable, with the second structure 0.085 eV/atom higher.

***

Run P
VASP calculation (PBE-GGA) on an optimized crystal structure of Be5Se3.

Results
Total magnetic moment ... 0.000 μB/f.u.
V ... 236 Å³/cell

a b c (Å): 6.3998 6.3998 6.6614
angles (deg): 90.00 90.00 120.00
Space group P6_3/mcm (No. 193)
Symmetry-distinct sites (fractional):
Be 0.0000 0.1920 0.2500 (multiplicity 6)
Be 0.3333 0.6667 0.0000 (multiplicity 4)
Se 0.0000 0.4395 0.7500 (multiplicity 6)

***

Run Q
VASP calculation (PBE-GGA) on an optimized crystal structure of Be5Se3.

Results
Total magnetic moment ... 0.000 μB/f.u.
V ... 510 Å³/cell

a b c (Å): 6.225 12.028 7.473
angles (deg): 90.00 114.33 90.00
Space group C2/m (No. 12)
Symmetry-distinct sites (fractional):
Be 0.000 0.082 0.000 (multiplicity 4)
Be 0.000 0.109 0.500 (multiplicity 4)
Be 0.133 0.500 0.942 (multiplicity 4)
Be 0.138 0.359 0.161 (multiplicity 8)
Se 0.008 0.195 0.239 (multiplicity 8)
Se 0.164 0.500 0.384 (multiplicity 4)

***

It turns out run Q is the most stable, with the second structure 0.578 eV/atom higher.

***

Run P
VASP calculation (PBE-GGA) on an optimized crystal structure of Be5Se.

Results
Total magnetic moment ... 0.000 μB/f.u.
V ... 72 Å³/cell

a b c (Å): 2.526 2.526 11.280
angles (deg): 90.00 90.00 90.00
Space group P4/mmm (No. 123)
Symmetry-distinct sites (fractional):
Be 0.000 0.000 0.000 (multiplicity 1)
Be 0.000 0.000 0.215 (multiplicity 2)
Be 0.500 0.500 0.110 (multiplicity 2)
Se 0.500 0.500 0.500 (multiplicity 1)

***

Run Q
VASP calculation (PBE-GGA) on an optimized crystal structure of Be5Se.

Results
Total magnetic moment ... 0.000 μB/f.u.
V ... 64 Å³/cell

a b c (Å): 4.5046 4.5046 3.6171
angles (deg): 90.00 90.00 120.00
Space group P6/mmm (No. 191)
Symmetry-distinct sites (fractional):
Be 0.0000 0.5000 0.0000 (multiplicity 3)
Be 0.3333 0.6667 0.5000 (multiplicity 2)
Se 0.0000 0.0000 0.5000 (multiplicity 1)

***

It turns out run P is the most stable, with the second structure 0.092 eV/atom higher.

***

Run P
VASP calculation (PBE-GGA) on an optimized crystal structure of BeSiSe2.

Results
Total magnetic moment ... 0.000 μB/f.u.
V ... 115 Å³/cell

a b c (Å): 5.175 3.564 6.734
angles (deg): 90.00 112.13 90.00
Space group Pm (No. 6)
Symmetry-distinct sites (fractional):
Be 0.000 0.000 0.000 (multiplicity 1)
Si 0.704 0.500 0.157 (multiplicity 1)
Se 0.048 0.000 0.331 (multiplicity 1)
Se 0.823 0.500 0.823 (multiplicity 1)

***

Run Q
VASP calculation (PBE-GGA) on an optimized crystal structure of BeSiSe2.

Results
Total magnetic moment ... 0.000 μB/f.u.
V ... 271 Å³/cell

a b c (Å): 6.469 6.469 6.469
angles (deg): 90.00 90.00 90.00
Space group Fm-3m (No. 225)
Symmetry-distinct sites (fractional):
Be 0.000 0.000 0.000 (multiplicity 4)
Si 0.000 0.000 0.500 (multiplicity 4)
Se 0.250 0.250 0.250 (multiplicity 8)

***

Run R
VASP calculation (PBE-GGA) on an optimized crystal structure of BeSiSe2.

Results
Total magnetic moment ... 0.000 μB/f.u.
V ... 141 Å³/cell

a b c (Å): 6.376 3.686 6.374
angles (deg): 90.00 109.56 90.00
Space group C2/m (No. 12)
Symmetry-distinct sites (fractional):
Be 0.000 0.000 0.000 (multiplicity 2)
Si 0.000 0.500 0.500 (multiplicity 2)
Se 0.241 0.500 0.223 (multiplicity 4)

***

It turns out run P is the most stable, with the second structure 0.148 eV/atom higher.

***

Run P
VASP calculation (PBE-GGA) on an optimized crystal structure of Be2SiSe.

Results
Total magnetic moment ... 0.000 μB/f.u.
V ... 116 Å³/cell

a b c (Å): 5.258 6.523 3.744
angles (deg): 90.00 115.59 90.00
Space group C2/m (No. 12)
Symmetry-distinct sites (fractional):
Be 0.250 0.250 0.000 (multiplicity 4)
Si 0.000 0.000 0.500 (multiplicity 2)
Se 0.000 0.500 0.500 (multiplicity 2)

***

Run Q
VASP calculation (PBE-GGA) on an optimized crystal structure of Be2SiSe.

Results
Total magnetic moment ... 0.000 μB/f.u.
V ... 215 Å³/cell

a b c (Å): 5.989 5.989 5.989
angles (deg): 90.00 90.00 90.00
Space group F-43m (No. 216)
Symmetry-distinct sites (fractional):
Be 0.000 0.000 0.000 (multiplicity 4)
Be 0.250 0.250 0.250 (multiplicity 4)
Si 0.250 0.250 0.750 (multiplicity 4)
Se 0.000 0.000 0.500 (multiplicity 4)

***

It turns out run P is the most stable, with the second structure 0.344 eV/atom higher.

***

Run P
VASP calculation (PBE-GGA) on an optimized crystal structure of BeSi2Se.

Results
Total magnetic moment ... 0.000 μB/f.u.
V ... 246 Å³/cell

a b c (Å): 6.267 6.267 6.267
angles (deg): 90.00 90.00 90.00
Space group Fm-3m (No. 225)
Symmetry-distinct sites (fractional):
Be 0.000 0.000 0.000 (multiplicity 4)
Si 0.250 0.250 0.250 (multiplicity 8)
Se 0.000 0.000 0.500 (multiplicity 4)

***

Run Q
VASP calculation (PBE-GGA) on an optimized crystal structure of BeSi2Se.

Results
Total magnetic moment ... 0.000 μB/f.u.
V ... 123 Å³/cell

a b c (Å): 4.797 5.398 4.747
angles (deg): 90.00 90.00 90.00
Space group Cmmm (No. 65)
Symmetry-distinct sites (fractional):
Be 0.000 0.000 0.000 (multiplicity 2)
Si 0.000 0.214 0.500 (multiplicity 4)
Se 0.000 0.500 0.000 (multiplicity 2)

***

It turns out run Q is the most stable, with the second structure 0.543 eV/atom higher.

***

Run P
VASP calculation (PBE-GGA) on an optimized crystal structure of BeSi2Se.

Results
Total magnetic moment ... 0.000 μB/f.u.
V ... 65 Å³/cell

a b c (Å): 3.406 3.406 5.638
angles (deg): 90.00 90.00 90.00
Space group P4/mmm (No. 123)
Symmetry-distinct sites (fractional):
Be 0.000 0.000 0.000 (multiplicity 1)
Si 0.000 0.500 0.500 (multiplicity 2)
Se 0.500 0.500 0.000 (multiplicity 1)

***

Run Q
VASP calculation (PBE-GGA) on an optimized crystal structure of BeSi2Se.

Results
Total magnetic moment ... 0.000 μB/f.u.
V ... 311 Å³/cell

a b c (Å): 5.365 5.365 10.807
angles (deg): 90.00 90.00 90.00
Space group I-42d (No. 122)
Symmetry-distinct sites (fractional):
Be 0.000 0.000 0.000 (multiplicity 4)
Si 0.196 0.250 0.125 (multiplicity 8)
Se 0.000 0.000 0.500 (multiplicity 4)

***

It turns out run Q is the most stable, with the second structure 0.228 eV/atom higher.

***

Run P
VASP calculation (PBE-GGA) on an optimized crystal structure of BeSi2Se.

Results
Total magnetic moment ... 0.000 μB/f.u.
V ... 125 Å³/cell

a b c (Å): 2.545 4.668 10.544
angles (deg): 90.00 90.00 90.00
Space group Immm (No. 71)
Symmetry-distinct sites (fractional):
Be 0.000 0.000 0.000 (multiplicity 2)
Si 0.000 0.500 0.302 (multiplicity 4)
Se 0.000 0.000 0.500 (multiplicity 2)

***

Run Q
VASP calculation (PBE-GGA) on an optimized crystal structure of BeSi2Se.

Results
Total magnetic moment ... 0.000 μB/f.u.
V ... 84 Å³/cell

a b c (Å): 3.707 3.617 6.259
angles (deg): 90.00 90.29 90.00
Space group Pm (No. 6)
Symmetry-distinct sites (fractional):
Be 0.000 0.000 0.000 (multiplicity 1)
Si 0.504 0.000 0.253 (multiplicity 1)
Si 0.505 0.500 0.021 (multiplicity 1)
Se 0.054 0.500 0.751 (multiplicity 1)

***

Run R
VASP calculation (PBE-GGA) on an optimized crystal structure of BeSi2Se.

Results
Total magnetic moment ... 0.000 μB/f.u.
V ... 70 Å³/cell

a b c (Å): 2.551 2.551 10.750
angles (deg): 90.00 90.00 90.00
Space group P4/mmm (No. 123)
Symmetry-distinct sites (fractional):
Be 0.000 0.000 0.000 (multiplicity 1)
Si 0.500 0.500 0.166 (multiplicity 2)
Se 0.000 0.000 0.500 (multiplicity 1)

***

It turns out run Q is the most stable, with the second structure 0.184 eV/atom higher.

***

Run P
VASP calculation (PBE-GGA) on an optimized crystal structure of BeSi2Se.

Results
Total magnetic moment ... 0.000 μB/f.u.
V ... 131 Å³/cell

a b c (Å): 3.162 4.747 8.697
angles (deg): 90.00 90.00 90.00
Space group Imm2 (No. 44)
Symmetry-distinct sites (fractional):
Be 0.000 0.000 0.000 (multiplicity 2)
Si 0.000 0.000 0.537 (multiplicity 2)
Si 0.000 0.500 0.290 (multiplicity 2)
Se 0.000 0.500 0.682 (multiplicity 2)

***

Run Q
VASP calculation (PBE-GGA) on an optimized crystal structure of BeSi2Se.

Results
Total magnetic moment ... 0.000 μB/f.u.
V ... 62 Å³/cell

a b c (Å): 4.476 4.476 3.086
angles (deg): 90.00 90.00 90.00
Space group P4/mmm (No. 123)
Symmetry-distinct sites (fractional):
Be 0.000 0.000 0.000 (multiplicity 1)
Si 0.000 0.500 0.500 (multiplicity 2)
Se 0.500 0.500 0.000 (multiplicity 1)

***

It turns out run P is the most stable, with the second structure 0.190 eV/atom higher.